Entry 1:
# ZrGeHRu | Alexandria | PBE-GGA | relaxed
# **Magnetic moment**: 0.000 μB per atom
# **Raw total energy**: -0.2550 Ha/atom
data_ZrGeHRu
_chemical_formula_sum 'Zr2 Ge2 H2 Ru2'
_symmetry_space_group_name_H-M 'P 4/n m m'
_symmetry_Int_Tables_number 129
_cell_length_a 3.9777
_cell_length_b 3.9777
_cell_length_c 6.8395
_cell_angle_alpha 90.00
_cell_angle_beta 90.00
_cell_angle_gamma 90.00
loop_
_symmetry_equiv_pos_as_xyz
'x,y,z'
'-x,-y,-z'
'-y+1/2,x,z'
'y+1/2,-x,-z'
'-x+1/2,-y+1/2,z'
'x+1/2,y+1/2,-z'
'y,-x+1/2,z'
'-y,x+1/2,-z'
'x+1/2,-y,-z'
'-x+1/2,y,z'
'-y,-x,-z'
'y,x,z'
'-x,y+1/2,-z'
'x,-y+1/2,z'
'y+1/2,x+1/2,-z'
'-y+1/2,-x+1/2,z'
loop_
_atom_site_label
_atom_site_fract_x
_atom_site_fract_y
_atom_site_fract_z
_atom_site_occupancy
Zr1 0.2500 0.2500 0.1630 1
Ge1 0.2500 0.2500 0.7158 1
H1 0.2500 0.7500 0.0000 1
Ru1 0.2500 0.7500 0.5000 1



Entry 2:
# SrHf3Zn | Alexandria | PBE-GGA | relaxed
# **Energy above the lowest structure with this stoichiometry**: 0.0 meV/atom
# **Magnetic moment**: 0.253 μB per atom
# **E_form**: 741.8 meV per atom
data_SrHf3Zn
_chemical_formula_sum 'Sr1 Hf3 Zn1'
_symmetry_space_group_name_H-M 'P m -3 m'
_symmetry_Int_Tables_number 221
_symmetry_space_group_name_Hall '-P 4 2 3'
_cell_length_a 5.1413
_cell_length_b 5.1413
_cell_length_c 5.1413
_cell_angle_alpha 90.00
_cell_angle_beta 90.00
_cell_angle_gamma 90.00
loop_
_atom_site_label
_atom_site_fract_x
_atom_site_fract_y
_atom_site_fract_z
_atom_site_occupancy
Sr1 0.0000 0.0000 0.0000 1
Hf1 0.0000 0.5000 0.5000 1
Zn1 0.5000 0.5000 0.5000 1



Entry 3:
# PmPuB12 | Alexandria | PBE-GGA | relaxed
# **Magnetic moment**: 0.386 μB per atom
# **E_form**: -427.5 meV per atom
data_PmPuB12
_chemical_formula_sum 'Pm1 Pu1 B12'
_symmetry_space_group_name_H-M 'P 4/m m m'
_symmetry_Int_Tables_number 123
_symmetry_space_group_name_Hall '-P 4 2'
_cell_length_a 4.1169
_cell_length_b 4.1169
_cell_length_c 8.2354
_cell_angle_alpha 90.00
_cell_angle_beta 90.00
_cell_angle_gamma 90.00
loop_
_atom_site_label
_atom_site_fract_x
_atom_site_fract_y
_atom_site_fract_z
_atom_site_occupancy
Pm1 0.0000 0.0000 0.0000 1
Pu1 0.0000 0.0000 0.5000 1
B1 0.1991 0.5000 0.2505 1
B2 0.5000 0.5000 0.0999 1
B3 0.5000 0.5000 0.4009 1



Entry 4:
# SnN4 | Alexandria | PBE-GGA | relaxed
# **Raw formation energy**: 3.043 eV per atom
# **Magnetic moment**: 1.601 μB per atom
data_SnN4
_chemical_formula_sum 'Sn1 N4'
_symmetry_space_group_name_H-M 'P m -3 m'
_symmetry_Int_Tables_number 221
_symmetry_space_group_name_Hall '-P 4 2 3'
_cell_length_a 4.3435
_cell_length_b 4.3435
_cell_length_c 4.3435
_cell_angle_alpha 90.00
_cell_angle_beta 90.00
_cell_angle_gamma 90.00
loop_
_atom_site_label
_atom_site_fract_x
_atom_site_fract_y
_atom_site_fract_z
_atom_site_occupancy
Sn1 0.0000 0.0000 0.0000 1
N1 0.0000 0.0000 0.5000 1
N2 0.5000 0.5000 0.5000 1



Entry 5:
# Rb2ReClF5 | Alexandria | PBE-GGA | relaxed
# **Raw formation energy**: -2.276 eV per atom
# **Magnetic moment**: 0.333 μB per atom
data_Rb2ReClF5
_chemical_formula_sum 'Rb4 Re2 Cl2 F10'
_symmetry_space_group_name_H-M 'I 4 m m'
_symmetry_Int_Tables_number 107
_symmetry_space_group_name_Hall 'I 4 -2'
_cell_length_a 6.6410
_cell_length_b 6.6410
_cell_length_c 8.7071
_cell_angle_alpha 90.00
_cell_angle_beta 90.00
_cell_angle_gamma 90.00
loop_
_atom_site_label
_atom_site_fract_x
_atom_site_fract_y
_atom_site_fract_z
_atom_site_occupancy
Rb1 0.0000 0.5000 0.0000 1
Re1 0.0000 0.0000 0.2605 1
Cl1 0.0000 0.0000 0.5317 1
F1 0.0000 0.0000 0.0323 1
F2 0.2115 0.2115 0.2565 1



Entry 6:
# Ti2AgMoPd | Alexandria | PBE-GGA | relaxed
# **Magnetic moment**: 0.000 μB per atom
# **E_form**: 1046.4 meV per atom
data_Ti2AgMoPd
_chemical_formula_sum 'Ti2 Ag1 Mo1 Pd1'
_symmetry_space_group_name_H-M 'P 4/m m m'
_symmetry_Int_Tables_number 123
_symmetry_space_group_name_Hall '-P 4 2'
_cell_length_a 4.7222
_cell_length_b 4.7222
_cell_length_c 4.7928
_cell_angle_alpha 90.00
_cell_angle_beta 90.00
_cell_angle_gamma 90.00
loop_
_atom_site_label
_atom_site_fract_x
_atom_site_fract_y
_atom_site_fract_z
_atom_site_occupancy
Ti1 0.0000 0.5000 0.0000 1
Ag1 0.0000 0.0000 0.5000 1
Mo1 0.5000 0.5000 0.5000 1
Pd1 0.5000 0.5000 0.0000 1



Entry 7:
# Hf4P3N | Alexandria | PBE-GGA | relaxed
# **Raw formation energy**: -1.028 eV per atom
# **Magnetic moment**: 0.000 μB per atom
data_Hf4P3N
_chemical_formula_sum 'Hf8 P6 N2'
_symmetry_space_group_name_H-M 'P m m n'
_symmetry_Int_Tables_number 59
_cell_length_a 5.0595
_cell_length_b 8.4435
_cell_length_c 7.3506
_cell_angle_alpha 90.00
_cell_angle_beta 90.00
_cell_angle_gamma 90.00
loop_
_symmetry_equiv_pos_as_xyz
'x,y,z'
'-x,-y,-z'
'-x+1/2,-y+1/2,z'
'x+1/2,y+1/2,-z'
'x+1/2,-y,-z'
'-x+1/2,y,z'
'-x,y+1/2,-z'
'x,-y+1/2,z'
loop_
_atom_site_label
_atom_site_fract_x
_atom_site_fract_y
_atom_site_fract_z
_atom_site_occupancy
Hf1 0.2500 0.0234 0.1880 1
Hf2 0.2500 0.2500 0.6116 1
Hf3 0.2500 0.7500 0.6806 1
P1 0.2500 0.0162 0.8372 1
P2 0.2500 0.7500 0.3439 1
N1 0.2500 0.2500 0.3131 1



Entry 8:
# Ac5Nd2Pb5 | Alexandria | PBE-GGA | relaxed
# **Magnetic moment**: 0.089 μB per atom
# **E_form**: -403.6 meV per atom
data_Ac5Nd2Pb5
_chemical_formula_sum 'Ac10 Nd4 Pb10'
_symmetry_space_group_name_H-M 'C 1 2/m 1'
_symmetry_Int_Tables_number 12
_symmetry_space_group_name_Hall '-C 2y'
_cell_length_a 15.9143
_cell_length_b 4.7655
_cell_length_c 13.7252
_cell_angle_alpha 90.00
_cell_angle_beta 110.24
_cell_angle_gamma 90.00
loop_
_atom_site_label
_atom_site_fract_x
_atom_site_fract_y
_atom_site_fract_z
_atom_site_occupancy
Ac1 0.0000 0.0000 0.0000 1
Ac2 0.1622 0.0000 0.5420 1
Ac3 0.2317 0.0000 0.8481 1
Nd1 0.0495 0.5000 0.2913 1
Pb1 0.0000 0.5000 0.5000 1
Pb2 0.1119 0.5000 0.9180 1
Pb3 0.1866 0.0000 0.2885 1



Entry 9:
# Ba2GaRhAu | Alexandria | PBE-GGA | relaxed
# **Energy above the lowest structure with this stoichiometry**: 195.6 meV/atom
# **Magnetic moment**: 0.000 μB per atom
# **E_form**: -415.1 meV per atom
data_Ba2GaRhAu
_chemical_formula_sum 'Ba2 Ga1 Rh1 Au1'
_symmetry_space_group_name_H-M 'P 4/m m m'
_symmetry_Int_Tables_number 123
_symmetry_space_group_name_Hall '-P 4 2'
_cell_length_a 5.9764
_cell_length_b 5.9764
_cell_length_c 4.7818
_cell_angle_alpha 90.00
_cell_angle_beta 90.00
_cell_angle_gamma 90.00
loop_
_atom_site_label
_atom_site_fract_x
_atom_site_fract_y
_atom_site_fract_z
_atom_site_occupancy
Ba1 0.0000 0.5000 0.0000 1
Ga1 0.0000 0.0000 0.5000 1
Rh1 0.0000 0.0000 0.0000 1
Au1 0.5000 0.5000 0.5000 1



Entry 10:
# ErTcC | Alexandria | PBE-GGA | relaxed
# **Energy above the lowest structure with this stoichiometry**: 191.7 meV/atom
# **Magnetic moment**: 0.000 μB per atom
# **E_form**: -25.4 meV per atom
data_ErTcC
_chemical_formula_sum 'Er1 Tc1 C1'
_symmetry_space_group_name_H-M 'P 3 m 1'
_symmetry_Int_Tables_number 156
_symmetry_space_group_name_Hall 'P 3 -2"'
_cell_length_a 3.5168
_cell_length_b 3.5168
_cell_length_c 4.4498
_cell_angle_alpha 90.00
_cell_angle_beta 90.00
_cell_angle_gamma 120.00
loop_
_atom_site_label
_atom_site_fract_x
_atom_site_fract_y
_atom_site_fract_z
_atom_site_occupancy
Er1 0.0000 0.0000 0.0000 1
Tc1 0.6667 0.3333 0.5256 1
C1 0.3333 0.6667 0.5620 1



Entry 11:
# Zr2ScReH | Alexandria | PBE-GGA | relaxed
# **Magnetic moment**: 0.000 μB per atom
# **Raw total energy**: -0.2687 Ha/atom
data_Zr2ScReH
_chemical_formula_sum 'Zr2 Sc1 Re1 H1'
_symmetry_space_group_name_H-M 'P 4/m m m'
_symmetry_Int_Tables_number 123
_symmetry_space_group_name_Hall '-P 4 2'
_cell_length_a 5.2931
_cell_length_b 5.2931
_cell_length_c 3.4095
_cell_angle_alpha 90.00
_cell_angle_beta 90.00
_cell_angle_gamma 90.00
loop_
_atom_site_label
_atom_site_fract_x
_atom_site_fract_y
_atom_site_fract_z
_atom_site_occupancy
Zr1 0.0000 0.5000 0.0000 1
Sc1 0.0000 0.0000 0.5000 1
Re1 0.5000 0.5000 0.0000 1
H1 0.5000 0.5000 0.5000 1



Entry 12:
# Pm8Ga2Tc | Alexandria | PBE-GGA | relaxed
# **Energy above the lowest structure with this stoichiometry**: 30.3 meV/atom
# **Magnetic moment**: 0.000 μB per atom
# **E_form**: -153.2 meV per atom
data_Pm8Ga2Tc
_chemical_formula_sum 'Pm16 Ga4 Tc2'
_symmetry_space_group_name_H-M 'I m m m'
_symmetry_Int_Tables_number 71
_symmetry_space_group_name_Hall '-I 2 2'
_cell_length_a 5.4966
_cell_length_b 6.9758
_cell_length_c 16.1477
_cell_angle_alpha 90.00
_cell_angle_beta 90.00
_cell_angle_gamma 90.00
loop_
_atom_site_label
_atom_site_fract_x
_atom_site_fract_y
_atom_site_fract_z
_atom_site_occupancy
Pm1 0.0000 0.0000 0.1963 1
Pm2 0.0000 0.2352 0.3713 1
Pm3 0.0000 0.2513 0.0000 1
Ga1 0.0000 0.5000 0.1862 1
Tc1 0.0000 0.5000 0.5000 1



Which formula does entry 9 have?
Ba2GaRhAu



The highest magnetic moment belongs to which entry?
SnN4



The highest magnetic moment belongs to which entry?
SnN4